Arrangement 1

Compound: LiTa3
Source: Alexandria via LeMat-Bulk
Functional: GGA-PBEsol
Structure: optimized geometry

The value obtained for the volume is 16.64 A^3/atom.

The space group is Fm-3m (No. 225) and the conventional cell measures 6.433, 6.433 and 6.433 Å, with angles of 90.00, 90.00 and 90.00 degrees. The inequivalent atoms are Li at (0.000, 0.000, 0.000), Ta at (0.000, 0.000, 0.500) and Ta at (0.250, 0.250, 0.250).

Arrangement 2

Compound: LiTa3
Source: Alexandria via LeMat-Bulk
Functional: GGA-PBEsol
Structure: optimized geometry

The value obtained for the volume is 17.15 A^3/atom.

The space group is Cmmm (No. 65) and the conventional cell measures 5.689, 8.949 and 2.695 Å, with angles of 90.00, 90.00 and 90.00 degrees. The inequivalent atoms are Li at (0.000, 0.000, 0.000), Ta at (0.000, 0.500, 0.000) and Ta at (0.250, 0.250, 0.500).

Tell me which of them is the most stable. Sure, it is arrangement 1.

Arrangement 1

Compound: LiTa3
Source: Alexandria via LeMat-Bulk
Functional: GGA-PBEsol
Structure: optimized geometry

The value obtained for the volume is 17.11 A^3/atom.

The space group is Imm2 (No. 44) and the conventional cell measures 2.676, 9.508 and 5.381 Å, with angles of 90.00, 90.00 and 90.00 degrees. The inequivalent atoms are Li at (0.000, 0.000, 0.000), Ta at (0.000, 0.249, 0.291) and Ta at (0.000, 0.500, 0.995).

Arrangement 2

Compound: LiTa3
Source: Alexandria via LeMat-Bulk
Functional: GGA-PBEsol
Structure: optimized geometry

The value obtained for the volume is 17.82 A^3/atom.

The space group is P-6m2 (No. 187) and the conventional cell measures 2.8189, 2.8189 and 10.3556 Å, with angles of 90.00, 90.00 and 120.00 degrees. The inequivalent atoms are Li at (0.0000, 0.0000, 0.0000), Ta at (0.0000, 0.0000, 0.5000) and Ta at (0.3333, 0.6667, 0.2507).

Tell me which of them is the most stable. Sure, it is arrangement 2.

Arrangement 1

Compound: LiTa
Source: Alexandria via LeMat-Bulk
Functional: GGA-PBEsol
Structure: optimized geometry

The value obtained for the volume is 18.03 A^3/atom.

The space group is P4/nmm (No. 129, origin choice 2) and the conventional cell measures 2.733, 2.733 and 9.654 Å, with angles of 90.00, 90.00 and 90.00 degrees. The inequivalent atoms are Li at (0.250, 0.250, 0.129) and Ta at (0.250, 0.250, 0.616).

Arrangement 2

Compound: LiTa
Source: Alexandria via LeMat-Bulk
Functional: GGA-PBEsol
Structure: optimized geometry

The value obtained for the volume is 16.92 A^3/atom.

The space group is P2_1/m (No. 11) and the conventional cell measures 2.565, 4.546 and 5.946 Å, with angles of 90.00, 102.50 and 90.00 degrees. The inequivalent atoms are Li at (0.057, 0.250, 0.117) and Ta at (0.309, 0.250, 0.617).

Tell me which of them is the most stable. Sure, it is arrangement 1.

Arrangement 1

Compound: LiTaTc2
Source: Alexandria via LeMat-Bulk
Functional: GGA-PBEsol
Structure: optimized geometry

The value obtained for the volume is 14.43 A^3/atom.

The space group is Immm (No. 71) and the conventional cell measures 3.084, 4.404 and 8.500 Å, with angles of 90.00, 90.00 and 90.00 degrees. The inequivalent atoms are Li at (0.000, 0.000, 0.000), Ta at (0.000, 0.000, 0.500) and Tc at (0.000, 0.500, 0.245).

Arrangement 2

Compound: LiTaTc2
Source: Alexandria via LeMat-Bulk
Functional: GGA-PBEsol
Structure: optimized geometry

The value obtained for the volume is 14.18 A^3/atom.

The space group is Pmmm (No. 47) and the conventional cell measures 3.363, 4.085 and 4.130 Å, with angles of 90.00, 90.00 and 90.00 degrees. The inequivalent atoms are Li at (0.000, 0.000, 0.000), Ta at (0.500, 0.500, 0.000), Tc at (0.000, 0.500, 0.500) and Tc at (0.500, 0.000, 0.500).

Tell me which of them is the most stable. Sure, it is arrangement 1.

Arrangement 1

Compound: LiYTa
Source: Alexandria via LeMat-Bulk
Functional: GGA-PBEsol
Structure: optimized geometry

The value obtained for the volume is 21.67 A^3/atom.

The space group is P3m1 (No. 156) and the conventional cell measures 3.0762, 3.0762 and 7.9335 Å, with angles of 90.00, 90.00 and 120.00 degrees. The inequivalent atoms are Li at (0.0000, 0.0000, 0.0000), Y at (0.6667, 0.3333, 0.3751) and Ta at (0.3333, 0.6667, 0.6894).

Arrangement 2

Compound: LiYTa
Source: Alexandria via LeMat-Bulk
Functional: GGA-PBEsol
Structure: optimized geometry

The value obtained for the volume is 21.52 A^3/atom.

The space group is F-43m (No. 216) and the conventional cell measures 6.368, 6.368 and 6.368 Å, with angles of 90.00, 90.00 and 90.00 degrees. The inequivalent atoms are Li at (0.000, 0.000, 0.000), Y at (0.250, 0.250, 0.250) and Ta at (0.250, 0.250, 0.750).

Tell me which of them is the most stable. Sure, it is arrangement 1.

Arrangement 1

Compound: Li2YTa
Source: Alexandria via LeMat-Bulk
Functional: GGA-PBEsol
Structure: optimized geometry

The value obtained for the volume is 19.25 A^3/atom.

The space group is Pmmm (No. 47) and the conventional cell measures 2.871, 4.501 and 5.957 Å, with angles of 90.00, 90.00 and 90.00 degrees. The inequivalent atoms are Li at (0.000, 0.000, 0.217), Y at (0.500, 0.500, 0.500) and Ta at (0.500, 0.500, 0.000).

Arrangement 2

Compound: Li2YTa
Source: Alexandria via LeMat-Bulk
Functional: GGA-PBEsol
Structure: optimized geometry

The value obtained for the volume is 18.28 A^3/atom.

The space group is P4/mmm (No. 123) and the conventional cell measures 4.795, 4.795 and 3.180 Å, with angles of 90.00, 90.00 and 90.00 degrees. The inequivalent atoms are Li at (0.000, 0.500, 0.000), Y at (0.000, 0.000, 0.500) and Ta at (0.500, 0.500, 0.500).

Tell me which of them is the most stable. Sure, it is arrangement 1.

Arrangement 1

Compound: Li5Tc
Source: Alexandria via LeMat-Bulk
Functional: GGA-PBEsol
Structure: optimized geometry

The value obtained for the volume is 15.35 A^3/atom.

The space group is P-62m (No. 189) and the conventional cell measures 4.8245, 4.8245 and 4.5683 Å, with angles of 90.00, 90.00 and 120.00 degrees. The inequivalent atoms are Li at (0.0000, 0.3245, 0.0000), Li at (0.3333, 0.6667, 0.5000) and Tc at (0.0000, 0.0000, 0.5000).

Arrangement 2

Compound: Li5Tc
Source: Alexandria via LeMat-Bulk
Functional: GGA-PBEsol
Structure: optimized geometry

The value obtained for the volume is 15.01 A^3/atom.

The space group is P6/mmm (No. 191) and the conventional cell measures 4.8286, 4.8286 and 4.4614 Å, with angles of 90.00, 90.00 and 120.00 degrees. The inequivalent atoms are Li at (0.0000, 0.5000, 0.0000), Li at (0.3333, 0.6667, 0.5000) and Tc at (0.0000, 0.0000, 0.5000).

Arrangement 3

Compound: Li5Tc
Source: Alexandria via LeMat-Bulk
Functional: GGA-PBEsol
Structure: optimized geometry

The value obtained for the volume is 14.79 A^3/atom.

The space group is Cmmm (No. 65) and the conventional cell measures 4.833, 14.599 and 2.516 Å, with angles of 90.00, 90.00 and 90.00 degrees. The inequivalent atoms are Li at (0.000, 0.000, 0.000), Li at (0.000, 0.152, 0.500), Li at (0.000, 0.338, 0.000) and Tc at (0.000, 0.500, 0.500).

Tell me which of them is the most stable. Sure, it is arrangement 3.

Arrangement 1

Compound: LiTlTc
Source: Alexandria via LeMat-Bulk
Functional: GGA-PBEsol
Structure: optimized geometry

The value obtained for the volume is 17.36 A^3/atom.

The space group is P3m1 (No. 156) and the conventional cell measures 2.9138, 2.9138 and 7.0820 Å, with angles of 90.00, 90.00 and 120.00 degrees. The inequivalent atoms are Li at (0.0000, 0.0000, 0.0000), Tl at (0.3333, 0.6667, 0.3464) and Tc at (0.6667, 0.3333, 0.6869).

Arrangement 2

Compound: LiTlTc
Source: Alexandria via LeMat-Bulk
Functional: GGA-PBEsol
Structure: optimized geometry

The value obtained for the volume is 21.04 A^3/atom.

The space group is F-43m (No. 216) and the conventional cell measures 6.320, 6.320 and 6.320 Å, with angles of 90.00, 90.00 and 90.00 degrees. The inequivalent atoms are Li at (0.000, 0.000, 0.000), Tl at (0.000, 0.000, 0.500) and Tc at (0.250, 0.250, 0.250).

Arrangement 3

Compound: LiTlTc
Source: Alexandria via LeMat-Bulk
Functional: GGA-PBEsol
Structure: optimized geometry

The value obtained for the volume is 16.51 A^3/atom.

The space group is Imm2 (No. 44) and the conventional cell measures 2.763, 4.238 and 8.456 Å, with angles of 90.00, 90.00 and 90.00 degrees. The inequivalent atoms are Li at (0.000, 0.000, 0.000), Tl at (0.000, 0.000, 0.331) and Tc at (0.000, 0.000, 0.663).

Tell me which of them is the most stable. Sure, it is arrangement 3.

Arrangement 1

Compound: LiTcW
Source: Alexandria via LeMat-Bulk
Functional: GGA-PBEsol
Structure: optimized geometry

The value obtained for the volume is 14.90 A^3/atom.

The space group is Fmm2 (No. 42) and the conventional cell measures 2.985, 4.340 and 13.795 Å, with angles of 90.00, 90.00 and 90.00 degrees. The inequivalent atoms are Li at (0.000, 0.000, 0.000), Tc at (0.000, 0.000, 0.334) and W at (0.000, 0.000, 0.676).

Arrangement 2

Compound: LiTcW
Source: Alexandria via LeMat-Bulk
Functional: GGA-PBEsol
Structure: optimized geometry

The value obtained for the volume is 15.02 A^3/atom.

The space group is P3m1 (No. 156) and the conventional cell measures 2.7042, 2.7042 and 7.1172 Å, with angles of 90.00, 90.00 and 120.00 degrees. The inequivalent atoms are Li at (0.0000, 0.0000, 0.0000), Tc at (0.6667, 0.3333, 0.6671) and W at (0.3333, 0.6667, 0.3506).

Tell me which of them is the most stable. Sure, it is arrangement 1.

Arrangement 1

Compound: LiTc2W
Source: Alexandria via LeMat-Bulk
Functional: GGA-PBEsol
Structure: optimized geometry

The value obtained for the volume is 13.71 A^3/atom.

The space group is Fm-3m (No. 225) and the conventional cell measures 6.030, 6.030 and 6.030 Å, with angles of 90.00, 90.00 and 90.00 degrees. The inequivalent atoms are Li at (0.000, 0.000, 0.000), Tc at (0.250, 0.250, 0.250) and W at (0.000, 0.000, 0.500).

Arrangement 2

Compound: LiTc2W
Source: Alexandria via LeMat-Bulk
Functional: GGA-PBEsol
Structure: optimized geometry

The value obtained for the volume is 13.95 A^3/atom.

The space group is Immm (No. 71) and the conventional cell measures 3.040, 4.388 and 8.368 Å, with angles of 90.00, 90.00 and 90.00 degrees. The inequivalent atoms are Li at (0.000, 0.000, 0.000), Tc at (0.000, 0.500, 0.242) and W at (0.000, 0.000, 0.500).

Tell me which of them is the most stable. Sure, it is arrangement 1.

Arrangement 1

Compound: LiYTc2
Source: Alexandria via LeMat-Bulk
Functional: GGA-PBEsol
Structure: optimized geometry

The value obtained for the volume is 16.06 A^3/atom.

The space group is F-43m (No. 216) and the conventional cell measures 6.357, 6.357 and 6.357 Å, with angles of 90.00, 90.00 and 90.00 degrees. The inequivalent atoms are Li at (0.000, 0.000, 0.000), Y at (0.250, 0.250, 0.750), Tc at (0.000, 0.000, 0.500) and Tc at (0.250, 0.250, 0.250).

Arrangement 2

Compound: LiYTc2
Source: Alexandria via LeMat-Bulk
Functional: GGA-PBEsol
Structure: optimized geometry

The value obtained for the volume is 16.27 A^3/atom.

The space group is Immm (No. 71) and the conventional cell measures 3.374, 4.126 and 9.349 Å, with angles of 90.00, 90.00 and 90.00 degrees. The inequivalent atoms are Li at (0.000, 0.000, 0.000), Y at (0.000, 0.000, 0.500) and Tc at (0.000, 0.500, 0.253).

Tell me which of them is the most stable. Sure, it is arrangement 1.

Arrangement 1

Compound: LiZr2Tc
Source: Alexandria via LeMat-Bulk
Functional: GGA-PBEsol
Structure: optimized geometry

The value obtained for the volume is 17.34 A^3/atom.

The space group is P4/mmm (No. 123) and the conventional cell measures 4.574, 4.574 and 3.316 Å, with angles of 90.00, 90.00 and 90.00 degrees. The inequivalent atoms are Li at (0.000, 0.000, 0.000), Zr at (0.000, 0.500, 0.500) and Tc at (0.500, 0.500, 0.000).

Arrangement 2

Compound: LiZr2Tc
Source: Alexandria via LeMat-Bulk
Functional: GGA-PBEsol
Structure: optimized geometry

The value obtained for the volume is 17.45 A^3/atom.

The space group is Fm-3m (No. 225) and the conventional cell measures 6.536, 6.536 and 6.536 Å, with angles of 90.00, 90.00 and 90.00 degrees. The inequivalent atoms are Li at (0.000, 0.000, 0.000), Zr at (0.250, 0.250, 0.250) and Tc at (0.000, 0.000, 0.500).

Tell me which of them is the most stable. Sure, it is arrangement 2.